First-principles (PBE with a Hubbard U) data for an optimized crystal structure of FeRuF2, as listed in Alexandria.

The electronic total energy comes out at -5.140 eV per atom. As for the energy above the most stable polymorph in this dataset: 0.000 eV per atom. Its total magnetization is 5.17 μB per formula unit.

The structure belongs to space group R-3m (No. 166, hexagonal axes); the cell edges are 2.7355, 2.7355 and 23.8436 Å and the angles 90.00°, 90.00° and 120.00°. Symmetry generates all atoms from Fe at (0.0000, 0.0000, 0.0000), Ru at (0.0000, 0.0000, 0.5000) and F at (0.0000, 0.0000, 0.0781).